Record 1
Material: LaCeGe2Pt2
Method: DFT, PBE-GGA
State: relaxed

a = 4.389 Å, b = 4.389 Å, c = 7.964 Å
α = 90.00°, β = 90.00°, γ = 120.00°
Sites, in units of the cell vectors:
La  0.000  0.000  0.000
Ce  0.000  0.000  0.500
Ge  0.667  0.333  0.265
Ge  0.333  0.667  0.735
Pt  0.667  0.333  0.739
Pt  0.333  0.667  0.261

Record 2
Material: LaCeGePt
Method: DFT, PBE-GGA
State: relaxed

Calculated values
The calculation puts the energy above the most stable polymorph in this dataset at 0.119 eV per atom.

a = 4.594 Å, b = 4.594 Å, c = 10.683 Å
α = 90.00°, β = 90.00°, γ = 90.00°
Last column: magnetic moment on the atom in μB.
Sites, in units of the cell vectors:
La  0.000  0.500  0.838  0.01
La  0.500  0.000  0.162  0.01
Ce  0.000  0.000  0.500  0.35
Ce  0.500  0.500  0.500  0.35
Ge  0.500  0.000  0.888  0.00
Ge  0.000  0.500  0.112  0.00
Pt  0.000  0.500  0.337  -0.01
Pt  0.500  0.000  0.663  -0.01

Number 1: DFT formation energy -1.076 eV/atom, energy -38.63 eV per formula unit. Number 2: DFT formation energy -0.669 eV/atom, energy -24.20 eV per formula unit.